(1)
Entry from Alexandria: LiBeReTc after structural relaxation (PBE).

a b c (Å): 4.1523 4.1523 4.1523
angles (deg): 60.00 60.00 60.00
Fractional coordinates of all 4 atoms:
Li  0.0000  0.0000  0.0000
Be  0.7500  0.7500  0.7500
Re  0.5000  0.5000  0.5000
Tc  0.2500  0.2500  0.2500

Results
formation energy from the elements: 0.058 eV per atom

=====

(2)
Entry from Alexandria: FeCoSb2 after structural relaxation (PBE).

a b c (Å): 5.5642 5.5642 5.5642
angles (deg): 140.24 140.24 57.50
Fractional coordinates of all 4 atoms:
Fe  0.0000  0.0000  0.0000
Co  0.7500  0.2500  0.5000
Sb  0.2500  0.7500  0.5000
Sb  0.5000  0.5000  0.0000

Results
energy relative to the elements, uncorrected: 0.44 eV/atom

=====

(3)
Entry from Alexandria: Pr2PaSe4 after structural relaxation (PBE).

a b c (Å): 7.3571 7.3571 13.9603
angles (deg): 90.00 90.00 147.96
Fractional coordinates of all 14 atoms:
Pr  0.1346  0.8654  0.5703
Pr  0.1346  0.8654  0.9297
Pr  0.8654  0.1346  0.0703
Pr  0.8654  0.1346  0.4297
Pa  0.3731  0.6269  0.7500
Pa  0.6269  0.3731  0.2500
Se  0.0207  0.9793  0.7500
Se  0.2209  0.7791  0.1287
Se  0.2209  0.7791  0.3713
Se  0.5000  0.5000  0.0000
Se  0.5000  0.5000  0.5000
Se  0.7791  0.2209  0.6287
Se  0.7791  0.2209  0.8713
Se  0.9793  0.0207  0.2500

Results
energy relative to the elements, uncorrected: -1.59 eV/atom

=====

(4)
Entry from Alexandria: Hf2VInH after structural relaxation (PBE).

a b c (Å): 4.5117 4.5117 3.9227
angles (deg): 90.00 90.00 90.00
Fractional coordinates of all 5 atoms:
Hf  0.0000  0.5000  0.0000
Hf  0.5000  0.0000  0.0000
V  0.0000  0.0000  0.5000
In  0.5000  0.5000  0.5000
H  0.0000  0.0000  0.0000

Results
electronic total energy: -35.8 eV for the cell shown

=====

(5)
Entry from Alexandria: LiHfAu after structural relaxation (PBE).

a b c (Å): 10.8062 10.8062 10.8062
angles (deg): 162.32 162.32 25.10
Fractional coordinates of all 6 atoms:
Li  0.2160  0.2160  0.0000
Li  0.7840  0.7840  0.0000
Hf  0.0705  0.0705  0.0000
Hf  0.9295  0.9295  0.0000
Au  0.3548  0.3548  0.0000
Au  0.6452  0.6452  0.0000

Results
formation energy from the elements: -0.147 eV per atom

=====

(6)
Entry from Alexandria: Tc2PAu after structural relaxation (PBE).

a b c (Å): 4.8118 4.8118 4.8118
angles (deg): 132.56 132.56 69.34
Fractional coordinates of all 4 atoms:
Tc  0.0000  0.0000  0.0000
Tc  0.7500  0.2500  0.5000
P  0.5000  0.5000  0.0000
Au  0.2500  0.7500  0.5000

Results
formation energy from the elements: 0.388 eV per atom

=====

M_tot readings, ordered: 0.00, 2.96, 1.48, 0.76, 0.00, 0.00 μB per formula unit
Theoretical density readings, ordered: 9.85, 8.51, 6.86, 10.89, 10.92, 11.87 g cm⁻³